Material: BiPtC3
Method: DFT, GGA-PBE
State: relaxed

Values from the calculation:
- ΔH_f (0 K): 345.3 kJ/mol of atoms
- Raw total energy: -3.940 eV per atom
- E above lowest polymorph: 1275.4 meV/atom
- Size of the total moment: 0.000 μB per cell

POSCAR file:
```
BiPtC3
1.0
4.402 0.000 0.000
0.000 4.402 0.000
0.000 0.000 4.402
Bi Pt C
1 1 3
Direct
0.000 0.000 0.000
0.500 0.500 0.500
0.000 0.000 0.500
0.000 0.500 0.000
0.500 0.000 0.000
```